A relaxed DyP2Ir4 crystal. Source: the Alexandria database, functional GGA-PBE.

The structure in POSCAR format:
```
DyP2Ir4
1.0
-1.3815 -2.7704 2.1239
4.5971 2.0876 5.7132
-5.3970 4.7030 2.6242
Dy P Ir
2 4 8
Cartesian
-0.6907 -1.3852 1.0619
-0.4000 3.3953 4.1687
-3.0682 4.0935 3.3440
2.2683 2.6970 4.9934
-1.2771 3.5924 7.1734
-0.9043 0.4277 3.2879
-1.4229 1.6602 1.2401
0.6230 5.1303 7.0973
-2.9450 1.6614 3.5697
0.7636 2.3587 6.8916
-3.1477 3.3823 5.6827
0.9664 0.6378 4.7786
1.1099 0.9974 2.0229
-1.9098 5.7932 6.3145
```

Properties
mass density: 15116 kg/m³
space-group type: No. 136
formation energy from the elements: -0.669 eV/atom
DFT total energy: -7.94 eV/atom

A relaxed Ir2WSe crystal. Source: the Alexandria database, functional GGA-PBE.

The structure in POSCAR format:
```
Ir2WSe
1.0
-1.2563 2.5418 0.8379
-1.5703 -1.4495 2.0431
5.1804 1.0114 4.6991
Ir Se W
2 1 1
Cartesian
5.0904 0.9938 4.6174
-0.0118 0.8198 2.7117
2.5872 0.5051 2.3468
2.4587 1.3021 4.9527
```

Properties
mass density: 17399 kg/m³
space-group type: No. 99
DFT total energy: -8.24 eV/atom

A relaxed KGa2Sn2 crystal. Source: the Alexandria database, functional GGA-PBE.

The structure in POSCAR format:
```
KGa2Sn2
1.0
-3.5648 -3.3880 -0.3466
2.4496 -2.8993 3.1464
-3.2543 -0.7469 5.7078
K Sn Ga
1 2 2
Cartesian
0.0000 0.0000 0.0000
-3.6884 -3.6393 3.3806
-0.6812 -3.3950 5.1271
-1.1733 -2.5965 2.3835
-3.1962 -4.4378 6.1242
```

Properties
mass density: 5057 kg/m³
space-group type: No. 139
formation energy from the elements: -0.163 eV/atom
DFT total energy: -3.19 eV/atom

A relaxed HRuPbO2 crystal. Source: the Alexandria database, functional GGA-PBE.

The structure in POSCAR format:
```
HRuPbO2
1.0
4.1042 0.0000 0.0000
0.0000 3.6055 0.0000
0.0000 0.0000 4.1042
Pb Ru O H
1 1 2 1
Cartesian
2.0521 1.8027 2.0521
0.0000 0.0000 0.0000
0.0000 0.0000 2.0521
2.0521 0.0000 0.0000
0.0000 1.8027 0.0000
```

Properties
mass density: 9331 kg/m³
space-group type: No. 123
DFT total energy: -5.74 eV/atom

A relaxed CdOsS2Cl crystal. Source: the Alexandria database, functional GGA-PBE.

The structure in POSCAR format:
```
CdOsS2Cl
1.0
4.9852 0.0000 0.0000
0.0000 4.9852 0.0000
0.0000 0.0000 4.9642
S Cl Os Cd
2 1 1 1
Cartesian
0.0000 2.4926 0.0000
2.4926 0.0000 0.0000
0.0000 0.0000 2.4821
2.4926 2.4926 2.4821
0.0000 0.0000 0.0000
```

Properties
mass density: 5414 kg/m³
space-group type: No. 123
DFT total energy: -3.02 eV/atom

A relaxed Zr2BeSb crystal. Source: the Alexandria database, functional GGA-PBE.

The structure in POSCAR format:
```
Zr2BeSb
1.0
2.4043 2.8060 3.0959
-2.0872 3.9633 1.7819
-1.3161 0.1548 4.6349
Sb Zr Be
1 2 1
Cartesian
-0.4995 3.4620 4.7564
-0.2498 1.7310 2.3782
-0.7493 5.1930 7.1346
0.0000 0.0000 0.0000
```

Properties
mass density: 6566 kg/m³
space-group type: No. 225
DFT total energy: -6.28 eV/atom

A relaxed PrSmBi2 crystal. Source: the Alexandria database, functional GGA-PBE.

The structure in POSCAR format:
```
PrSmBi2
1.0
-3.2493 -1.4825 2.9020
0.8932 -0.2648 4.5066
-3.2062 6.4621 3.3733
Pr Sm Bi
1 1 2
Cartesian
-2.7812 2.3574 5.3910
0.0000 0.0000 0.0000
-4.1844 3.5728 8.0913
-1.3779 1.1420 2.6906
```

Properties
mass density: 8552 kg/m³
space-group type: No. 12
formation energy from the elements: -0.942 eV/atom
DFT total energy: -5.26 eV/atom

A relaxed LaYSc4 crystal. Source: the Alexandria database, functional GGA-PBE.

The structure in POSCAR format:
```
LaYSc4
1.0
-7.8152 1.9558 -2.7524
4.6528 -0.0201 -2.7049
0.1771 -9.8840 0.3797
La Y Sc
2 2 8
Cartesian
0.0176 -1.7756 -2.6345
-3.0028 -6.1726 -2.4431
3.2222 -7.2177 -2.4344
-6.2074 -0.7305 -2.6432
-6.3624 -7.1907 -2.8613
-0.1203 -8.1838 -2.8230
0.3588 -5.2167 -2.0253
-3.3440 -2.7316 -3.0522
2.9200 -3.7357 -2.9850
-2.8650 0.2355 -2.2546
-5.9052 -4.2125 -2.0926
3.3772 -0.7575 -2.2163
```

Properties
mass density: 4088 kg/m³
space-group type: No. 63
formation energy from the elements: 0.071 eV/atom
DFT total energy: -6.05 eV/atom